No. 1
{"formula": "MnSnPb3", "functional": "PBE", "state": "relaxed", "cell": [[5.279, 0.000, 0.000], [0.000, 5.279, 0.000], [0.000, 0.000, 5.279]], "species": ["Mn", "Sn", "Pb", "Pb", "Pb"], "fractional_positions": [[0.000, 0.000, 0.000], [0.500, 0.500, 0.500], [0.000, 0.000, 0.500], [0.000, 0.500, 0.000], [0.500, 0.000, 0.000]], "formation_energy_ev_per_fu": 1.72, "relative_energy_mev_per_atom": 0, "dos_ef_per_ev_cell": 2.9, "m_tot_mub_per_fu": 3.0}

=====

No. 2
{"formula": "IrRh2Br", "functional": "PBE", "state": "relaxed", "cell": [[3.025, 0.000, 0.000], [0.000, 3.412, 0.000], [0.000, 0.000, 6.535]], "species": ["Ir", "Rh", "Rh", "Br"], "fractional_positions": [[0.000, 0.000, 0.000], [0.000, 0.000, 0.408], [0.500, 0.500, 0.196], [0.500, 0.500, 0.686]], "relative_energy_mev_per_atom": 264, "dos_ef_per_ev_cell": 3.9, "formation_energy_uncorrected_ev_per_fu": 2.56, "m_tot_mub_per_fu": 0.0}

=====

No. 3
{"formula": "BaLaMg", "functional": "PBE", "state": "relaxed", "cell": [[5.907, 0.000, 0.000], [-2.954, 5.116, 0.000], [0.000, 0.000, 3.717]], "species": ["Ba", "La", "Mg"], "fractional_positions": [[0.000, 0.000, 0.000], [0.667, 0.333, 0.372], [0.333, 0.667, 0.678]], "formation_energy_ev_per_fu": 0.41, "relative_energy_mev_per_atom": 105, "dos_ef_per_ev_cell": 4.0, "m_tot_mub_per_fu": 0.0}

=====

No. 4
{"formula": "UMnBr6", "functional": "PBE", "state": "relaxed", "cell": [[6.937, 0.000, 0.000], [3.468, 6.018, 0.000], [3.464, 2.006, 6.302]], "species": ["U", "Mn", "Br", "Br", "Br", "Br", "Br", "Br"], "fractional_positions": [[0.000, 0.000, 0.000], [0.500, 0.500, 0.500], [0.110, 0.745, 0.744], [0.255, 0.598, 0.256], [0.402, 0.110, 0.743], [0.598, 0.890, 0.257], [0.745, 0.402, 0.744], [0.890, 0.255, 0.256]], "relative_energy_mev_per_atom": 16, "dos_ef_per_ev_cell": 5.3, "formation_energy_uncorrected_ev_per_fu": -8.45, "m_tot_mub_per_fu": 7.0}

=====

No. 5
{"formula": "Si2AsCl", "functional": "PBE", "state": "relaxed", "cell": [[3.678, 0.000, 0.000], [0.000, 5.656, 0.000], [0.000, 0.000, 7.711]], "species": ["Si", "Si", "Si", "Si", "As", "As", "Cl", "Cl"], "fractional_positions": [[0.000, 0.000, 0.228], [0.000, 0.000, 0.772], [0.500, 0.500, 0.228], [0.500, 0.500, 0.772], [0.000, 0.500, 0.000], [0.500, 0.000, 0.000], [0.000, 0.500, 0.500], [0.500, 0.000, 0.500]], "relative_energy_mev_per_atom": 456, "dos_ef_per_ev_cell": 3.7, "formation_energy_uncorrected_ev_per_fu": 1.62, "m_tot_mub_per_fu": 0.0}

=====

No. 6
{"formula": "Tl4Tc", "functional": "PBE", "state": "relaxed", "cell": [[6.443, 0.000, 0.000], [0.000, 6.443, 0.000], [0.000, 0.000, 6.443]], "species": ["Tl", "Tl", "Tl", "Tl", "Tl", "Tl", "Tl", "Tl", "Tc", "Tc"], "fractional_positions": [[0.220, 0.222, 0.309], [0.222, 0.780, 0.691], [0.278, 0.280, 0.809], [0.280, 0.722, 0.191], [0.720, 0.278, 0.191], [0.722, 0.720, 0.809], [0.778, 0.220, 0.691], [0.780, 0.778, 0.309], [0.000, 0.000, 0.000], [0.500, 0.500, 0.500]], "formation_energy_ev_per_fu": 1.46, "relative_energy_mev_per_atom": 0, "dos_ef_per_ev_cell": 5.3, "m_tot_mub_per_fu": 0.4}